Below is a relaxed LiZnSb crystal, with properties calculated at the PBE level.

abc: 4.431 4.431 7.148
angles: 90.00 90.00 120.00
Positions (direct):
Li 0.000 0.000 0.000
Li 0.000 0.000 0.500
Zn 0.333 0.667 0.335
Zn 0.667 0.333 0.835
Sb 0.333 0.667 0.719
Sb 0.667 0.333 0.219

Properties
- Raw total energy: -2.800 eV/atom
- Theoretical density: 5.304 g cm⁻³
- Volume: 121.5 Å³ per cell

Below is a relaxed DyHfAs crystal, with properties calculated at the PBE level.

abc: 4.634 4.634 4.634
angles: 60.00 60.00 60.00
Positions (direct):
Dy 0.000 0.000 0.000
Hf 0.500 0.500 0.500
As 0.250 0.250 0.250

Properties
- Raw total energy: -6.821 eV/atom
- Theoretical density: 9.816 g cm⁻³
- Volume: 70.4 Å³ per cell

Below is a relaxed PrAsNO crystal, with properties calculated at the PBE level.

abc: 4.502 4.502 7.186
angles: 98.21 98.21 87.91
Positions (direct):
Pr 0.221 0.221 0.363
Pr 0.779 0.779 0.637
As 0.281 0.719 0.000
As 0.719 0.281 0.000
N 0.325 0.325 0.055
N 0.675 0.675 0.945
O 0.250 0.750 0.500
O 0.750 0.250 0.500

Properties
- Raw total energy: -6.998 eV/atom
- Theoretical density: 5.723 g cm⁻³
- Volume: 142.6 Å³ per cell
- Excess energy over the best structure of this formula in the dataset: 0.000 eV per atom

Below is a relaxed Nd3Mg3GaHg2 crystal, with properties calculated at the PBE level.

abc: 7.594 7.594 4.645
angles: 90.00 90.00 120.00
Positions (direct):
Nd 0.000 0.587 0.000
Nd 0.413 0.413 0.000
Nd 0.587 0.000 0.000
Mg 0.000 0.238 0.500
Mg 0.238 0.000 0.500
Mg 0.762 0.762 0.500
Ga 0.000 0.000 0.000
Hg 0.333 0.667 0.500
Hg 0.667 0.333 0.500

Properties
- Raw total energy: -2.916 eV/atom
- Theoretical density: 6.990 g cm⁻³
- Volume: 232.0 Å³ per cell

Below is a relaxed NdErGa2I2 crystal, with properties calculated at the PBE level.

abc: 4.240 4.240 12.355
angles: 90.00 90.00 120.00
Positions (direct):
Nd 0.000 0.000 0.000
Er 0.000 0.000 0.668
Ga 0.333 0.667 0.856
Ga 0.667 0.333 0.801
I 0.333 0.667 0.509
I 0.667 0.333 0.170

Properties
- Raw total energy: -4.118 eV/atom
- Theoretical density: 6.084 g cm⁻³
- Volume: 192.3 Å³ per cell

Below is a relaxed PrY2Ga2Ni4 crystal, with properties calculated at the PBE level.

abc: 5.410 5.410 8.176
angles: 97.92 97.92 44.93
Positions (direct):
Pr 0.000 0.000 0.000
Y 0.375 0.375 0.617
Y 0.625 0.625 0.383
Ga 0.321 0.321 0.222
Ga 0.679 0.679 0.778
Ni 0.084 0.084 0.630
Ni 0.265 0.265 0.913
Ni 0.735 0.735 0.087
Ni 0.916 0.916 0.370

Properties
- Raw total energy: -5.663 eV/atom
- Theoretical density: 6.886 g cm⁻³
- Volume: 167.1 Å³ per cell

Below is a relaxed AcHoIr crystal, with properties calculated at the PBE level.

abc: 4.874 4.874 4.874
angles: 60.00 60.00 60.00
Positions (direct):
Ac 0.000 0.000 0.000
Ho 0.250 0.250 0.250
Ir 0.500 0.500 0.500

Properties
- Raw total energy: -5.637 eV/atom
- Formation enthalpy at 0 K: 0.209 eV/atom
- Theoretical density: 11.845 g cm⁻³
- Volume: 81.9 Å³ per cell
- Excess energy over the best structure of this formula in the dataset: 0.000 eV per atom

Below is a relaxed CuB4Mo crystal, with properties calculated at the PBE level.

abc: 4.480 4.480 4.480
angles: 140.54 109.22 84.19
Positions (direct):
Cu 0.000 0.000 0.000
B 0.087 0.755 0.332
B 0.423 0.755 0.668
B 0.577 0.245 0.332
B 0.913 0.245 0.668
Mo 0.500 0.500 0.000

Properties
- Raw total energy: -6.843 eV/atom
- Theoretical density: 6.449 g cm⁻³
- Volume: 52.2 Å³ per cell
- Excess energy over the best structure of this formula in the dataset: 0.017 eV per atom

Question: Which formula does entry 3 have?
Answer: PrAsNO